# AgAsSeCl | Alexandria via LeMat-Bulk | PBE | optimized geometry
# Fermi-level density of states in states/eV/atom: 0.43
# Spin magnetization in μB/f.u.: 0.0
# Formation energy (no corrections) in eV/atom: -0.15
data_AgAsSeCl
_chemical_formula_sum 'Ag2 As2 Se2 Cl2'
_cell_length_a 5.719
_cell_length_b 4.574
_cell_length_c 7.863
_cell_angle_alpha 90.00
_cell_angle_beta 98.73
_cell_angle_gamma 90.00
_symmetry_space_group_name_H-M 'C 1 m 1'
_symmetry_Int_Tables_number 8
_symmetry_space_group_name_Hall 'C -2y'
loop_
_atom_site_label
_atom_site_fract_x
_atom_site_fract_y
_atom_site_fract_z
_atom_site_occupancy
Ag1 0.000 0.000 0.000 1
As1 0.429 0.500 0.672 1
Se1 0.293 0.000 0.533 1
Cl1 0.108 0.500 0.149 1

# Ir3PtSe | Alexandria via LeMat-Bulk | PBE | optimized geometry
# Fermi-level density of states in states/eV/atom: 2.11
# Spin magnetization in μB/f.u.: 0.0
# Formation energy (no corrections) in eV/atom: 1.42
# Offset from the most stable computed form in eV per atom: 0.000
data_Ir3PtSe
_chemical_formula_sum 'Ir3 Pt1 Se1'
_cell_length_a 4.540
_cell_length_b 4.540
_cell_length_c 4.540
_cell_angle_alpha 90.00
_cell_angle_beta 90.00
_cell_angle_gamma 90.00
_symmetry_space_group_name_H-M 'P m -3 m'
_symmetry_Int_Tables_number 221
_symmetry_space_group_name_Hall '-P 4 2 3'
loop_
_atom_site_label
_atom_site_fract_x
_atom_site_fract_y
_atom_site_fract_z
_atom_site_occupancy
Ir1 0.000 0.000 0.500 1
Pt1 0.500 0.500 0.500 1
Se1 0.000 0.000 0.000 1

# AlCdPd2 | Alexandria via LeMat-Bulk | PBE | optimized geometry
# Fermi-level density of states in states/eV/atom: 0.30
# E_form in kJ/mol of formula units: -59
# Spin magnetization in μB/f.u.: 0.0
data_AlCdPd2
_chemical_formula_sum 'Al4 Cd4 Pd8'
_cell_length_a 4.081
_cell_length_b 4.081
_cell_length_c 17.676
_cell_angle_alpha 90.00
_cell_angle_beta 90.00
_cell_angle_gamma 90.00
_symmetry_space_group_name_H-M 'I -4 2 d'
_symmetry_Int_Tables_number 122
_symmetry_space_group_name_Hall 'I -4 2bw'
loop_
_atom_site_label
_atom_site_fract_x
_atom_site_fract_y
_atom_site_fract_z
_atom_site_occupancy
Al1 0.000 0.000 0.000 1
Cd1 0.000 0.000 0.500 1
Pd1 0.228 0.250 0.125 1

# ScIrBr | Alexandria via LeMat-Bulk | PBE | optimized geometry
# Fermi-level density of states in states/eV/atom: 0.39
# Spin magnetization in μB/f.u.: 0.0
# Formation energy (no corrections) in eV/atom: -0.54
# Offset from the most stable computed form in eV per atom: 0.000
data_ScIrBr
_chemical_formula_sum 'Sc1 Ir1 Br1'
_cell_length_a 3.3408
_cell_length_b 3.3408
_cell_length_c 6.7145
_cell_angle_alpha 90.00
_cell_angle_beta 90.00
_cell_angle_gamma 120.00
_symmetry_space_group_name_H-M 'P 3 m 1'
_symmetry_Int_Tables_number 156
_symmetry_space_group_name_Hall 'P 3 -2"'
loop_
_atom_site_label
_atom_site_fract_x
_atom_site_fract_y
_atom_site_fract_z
_atom_site_occupancy
Sc1 0.0000 0.0000 0.0000 1
Ir1 0.3333 0.6667 0.7398 1
Br1 0.6667 0.3333 0.2895 1

- The highest Fermi-level density of states belongs to which entry?
  Ir3PtSe

- The lowest Fermi-level density of states belongs to which entry?
  AlCdPd2